The following is a PBE calculation of a geometry-optimized YbAlNi structure, from the Alexandria database.

Computed properties:
Calculated formation energy: -0.44 eV per atom
E_tot: -98.9 eV/cell

Unit cell a=8.557 b=5.406 c=9.176 alpha=90.00 beta=90.00 gamma=90.00
Space group Amm2 (No. 38)
Asymmetric unit:
Yb1 0.182 0.000 0.000
Yb2 0.298 0.000 0.332
Al1 0.000 0.000 0.528
Al2 0.500 0.000 0.833
Al3 0.500 0.245 0.585
Ni1 0.000 0.247 0.259
Ni2 0.258 0.000 0.669


The following is a PBE calculation of a geometry-optimized YbAlNi structure, from the Alexandria database.

Computed properties:
Calculated formation energy: -0.45 eV per atom
E_tot: -99.1 eV/cell

Unit cell a=8.521 b=5.405 c=9.174 alpha=90.00 beta=90.00 gamma=90.00
Space group Amm2 (No. 38)
Asymmetric unit:
Yb1 0.177 0.000 0.000
Yb2 0.300 0.000 0.666
Al1 0.231 0.000 0.330
Al2 0.500 0.248 0.918
Ni1 0.000 0.000 0.501
Ni2 0.000 0.244 0.746
Ni3 0.500 0.000 0.168


The following is a PBE calculation of a geometry-optimized Yb4Al23Ni6 structure, from the Alexandria database.

Computed properties:
Calculated formation energy: -0.47 eV per atom
E_tot: -285.0 eV/cell

Unit cell a=15.864 b=4.086 c=18.205 alpha=90.00 beta=112.50 gamma=90.00
Space group C2/m (No. 12)
Asymmetric unit:
Yb1 0.076 0.000 0.407
Yb2 0.236 0.000 0.782
Al1 0.000 0.500 0.500
Al2 0.032 0.000 0.780
Al3 0.066 0.000 0.939
Al4 0.080 0.500 0.686
Al5 0.090 0.500 0.050
Al6 0.092 0.500 0.280
Al7 0.111 0.000 0.164
Al8 0.120 0.000 0.595
Al9 0.145 0.500 0.856
Al10 0.201 0.500 0.521
Al11 0.229 0.000 0.324
Al12 0.243 0.000 0.953
Ni1 0.008 0.500 0.136
Ni2 0.189 0.000 0.066
Ni3 0.229 0.500 0.398


The following is a PBE calculation of a geometry-optimized YbAlNi structure, from the Alexandria database.

Computed properties:
Calculated formation energy: -0.44 eV per atom
E_tot: -37.1 eV/cell

Unit cell a=6.8315 b=6.8315 c=3.9966 alpha=90.00 beta=90.00 gamma=120.00
Space group P-62m (No. 189)
Asymmetric unit:
Yb1 0.0000 0.4172 0.0000
Al1 0.0000 0.7629 0.5000
Ni1 0.0000 0.0000 0.0000
Ni2 0.3333 0.6667 0.5000


The following is a PBE calculation of a geometry-optimized AlZnNi2 structure, from the Alexandria database.

Computed properties:
Calculated formation energy: -0.02 eV per atom
E_tot: -66.6 eV/cell

Unit cell a=6.440 b=6.440 c=5.170 alpha=90.00 beta=90.00 gamma=90.00
Space group I-42d (No. 122)
Asymmetric unit:
Al1 0.000 0.000 0.000
Zn1 0.000 0.000 0.500
Ni1 0.245 0.250 0.125


The following is a PBE calculation of a geometry-optimized Al8ZnNi6 structure, from the Alexandria database.

Computed properties:
Calculated formation energy: -0.56 eV per atom
E_tot: -222.8 eV/cell

Unit cell a=7.0015 b=7.0015 c=14.7251 alpha=90.00 beta=90.00 gamma=120.00
Space group R-3 (No. 148, hexagonal axes)
Asymmetric unit:
Al1 0.0000 0.0000 0.1669
Al2 0.0012 0.3314 0.6169
Zn1 0.0000 0.0000 0.5000
Ni1 0.0004 0.3364 0.4504